# 1
# NdPuCd (PBE, optimized geometry)
data_NdPuCd
_chemical_formula_sum 'Nd6 Pu6 Cd6'
_symmetry_space_group_name_H-M 'R -3 m'
_symmetry_Int_Tables_number 166
_symmetry_space_group_name_Hall '-R 3 2"'
_cell_length_a 3.9286
_cell_length_b 3.9286
_cell_length_c 37.7517
_cell_angle_alpha 90.00
_cell_angle_beta 90.00
_cell_angle_gamma 120.00
loop_
_atom_site_label
_atom_site_fract_x
_atom_site_fract_y
_atom_site_fract_z
Nd1 0.0000 0.0000 0.0894
Pu1 0.0000 0.0000 0.1610
Cd1 0.0000 0.0000 0.3596
# Energy of formation (eV per atom): 0.22
# Size of the total moment (μB/atom): 0.00

***

# 2
# NdPuCd (PBE, optimized geometry)
data_NdPuCd
_chemical_formula_sum 'Nd2 Pu2 Cd2'
_symmetry_space_group_name_H-M 'I 4 m m'
_symmetry_Int_Tables_number 107
_symmetry_space_group_name_Hall 'I 4 -2'
_cell_length_a 3.488
_cell_length_b 3.488
_cell_length_c 14.219
_cell_angle_alpha 90.00
_cell_angle_beta 90.00
_cell_angle_gamma 90.00
loop_
_atom_site_label
_atom_site_fract_x
_atom_site_fract_y
_atom_site_fract_z
Nd1 0.000 0.000 0.000
Pu1 0.000 0.000 0.683
Cd1 0.000 0.000 0.340
# Energy of formation (eV per atom): 0.00
# Size of the total moment (μB/atom): 2.06

***

# 3
# NdPuCd (PBE, optimized geometry)
data_NdPuCd
_chemical_formula_sum 'Nd1 Pu1 Cd1'
_symmetry_space_group_name_H-M 'P 3 m 1'
_symmetry_Int_Tables_number 156
_cell_length_a 5.4259
_cell_length_b 5.4259
_cell_length_c 3.2654
_cell_angle_alpha 90.00
_cell_angle_beta 90.00
_cell_angle_gamma 120.00
loop_
_symmetry_equiv_pos_as_xyz
'x,y,z'
'-y,x-y,z'
'-x+y,-x,z'
'-y,-x,z'
'-x+y,y,z'
'x,x-y,z'
loop_
_atom_site_label
_atom_site_fract_x
_atom_site_fract_y
_atom_site_fract_z
Nd1 0.0000 0.0000 0.0000
Pu1 0.3333 0.6667 0.6141
Cd1 0.6667 0.3333 0.3227
# Energy of formation (eV per atom): 0.06
# Size of the total moment (μB/atom): 1.96